Compound: BaAu3
Source: Alexandria via LeMat-Bulk
Functional: GGA-PBE
Structure: optimized geometry

POSCAR file:
```
BaAu3
1.0
4.685 0.000 0.000
0.000 4.685 0.000
0.000 0.000 4.685
Ba Au
1 3
Direct
0.000 0.000 0.000 Ba
0.500 0.500 0.000 Au
0.500 0.000 0.500 Au
0.000 0.500 0.500 Au
```

Space-group type: No. 221
Theoretical density, g/cm3: 11.761
DFT formation energy, meV/atom: -254.1
Density of states at the Fermi level, states/eV/cell: 1.4
Energy, eV per atom: -3.193

---

Compound: Ag4HBr5
Source: Alexandria via LeMat-Bulk
Functional: GGA-PBE
Structure: optimized geometry

POSCAR file:
```
Ag4HBr5
1.0
4.411 0.000 0.540
2.173 3.839 0.540
0.118 0.069 17.330
Ag H Br
4 1 5
Direct
0.558 0.558 0.326 Ag
0.747 0.747 0.760 Ag
0.152 0.152 0.543 Ag
0.341 0.341 0.978 Ag
0.960 0.960 0.120 H
0.798 0.798 0.606 Br
0.203 0.203 0.390 Br
0.609 0.609 0.174 Br
0.990 0.990 0.031 Br
0.392 0.392 0.823 Br
```

Space-group type: No. 160
Theoretical density, g/cm3: 4.713
Energy, eV per atom: -2.513

---

Compound: TiMn3Au
Source: Alexandria via LeMat-Bulk
Functional: GGA-PBE
Structure: optimized geometry

POSCAR file:
```
TiMn3Au
1.0
4.872 0.000 0.000
0.000 4.872 0.000
0.000 0.000 4.872
Mn Au Ti
3 1 1
Direct
0.500 0.000 0.000 Mn
0.000 0.500 0.000 Mn
0.000 0.000 0.500 Mn
0.000 0.000 0.000 Au
0.500 0.500 0.500 Ti
```

Space-group type: No. 221
Theoretical density, g/cm3: 5.883
DFT formation energy, meV/atom: 1207.8
Density of states at the Fermi level, states/eV/cell: 8.2
Energy, eV per atom: -6.528